K2CdIn3Hg4: relaxed, PBE.

The calculation puts the calculated total energy at -1.39 eV/atom. As for the energy of formation from the pure elements: -140 meV per atom.

It has space group P-4m2 (No. 115), with a = 4.9427 Å, b = 4.9427 Å, c = 12.5075 Å, α = 90.00°, β = 90.00° and γ = 90.00°. The distinct sites, in fractional coordinates, are K at (0.0000, 0.5000, 0.2477), Cd at (0.0000, 0.0000, 0.5000), In at (0.0000, 0.5000, 0.8681), In at (0.5000, 0.5000, 0.5000), Hg at (0.0000, 0.0000, 0.0000), Hg at (0.0000, 0.5000, 0.6365) and Hg at (0.5000, 0.5000, 0.0000).